! RbCu2As2 (PBE, relaxed); values from VASP
! Formation energy from the elements, eV/atom: 0.11
! DOS at the Fermi energy, states/eV/f.u.: 2.14
&SYSTEM
  ibrav = 0, nat = 10, ntyp = 3
/
ATOMIC_SPECIES
Rb 85.47 Rb.upf
Cu 63.55 Cu.upf
As 74.92 As.upf
CELL_PARAMETERS angstrom
8.331 0.000 0.000
0.000 8.331 0.000
0.000 0.000 2.948
ATOMIC_POSITIONS angstrom
Rb 0.000 0.000 0.000
Rb 4.165 4.165 0.000
Cu 0.900 3.265 0.000
Cu 3.265 7.430 0.000
Cu 5.066 0.900 0.000
Cu 7.430 5.066 0.000
As 1.221 5.386 1.474
As 2.944 1.221 1.474
As 5.386 7.110 1.474
As 7.110 2.944 1.474

---

! Tl4SeF3 (PBE, relaxed); values from VASP
! DOS at the Fermi energy, states/eV/f.u.: 3.15
! E_form (uncorrected), meV per atom: -1311.3
&SYSTEM
  ibrav = 0, nat = 16, ntyp = 3
/
ATOMIC_SPECIES
Tl 204.38 Tl.upf
Se 78.96 Se.upf
F 19.00 F.upf
CELL_PARAMETERS angstrom
10.143 0.000 0.000
0.000 7.878 0.000
0.000 0.000 5.532
ATOMIC_POSITIONS angstrom
Tl 0.000 1.259 5.532
Tl 0.000 6.135 2.760
Tl 2.053 2.751 2.766
Tl 3.018 5.127 0.000
Tl 5.071 1.743 5.527
Tl 5.071 6.619 2.766
Tl 7.125 5.127 0.000
Tl 8.090 2.751 2.766
Se 0.000 5.829 5.526
Se 5.071 2.049 2.760
F 0.000 0.639 2.761
F 2.508 2.471 5.517
F 2.564 5.407 2.751
F 5.071 7.238 5.527
F 7.579 5.407 2.751
F 7.635 2.471 5.517

---

! CdHg2Sb (PBE, relaxed); values from VASP
! DOS at the Fermi energy, states/eV/f.u.: 2.74
! E_form (uncorrected), meV per atom: 140.1
! Offset from the most stable computed form, meV/atom: 105.8
&SYSTEM
  ibrav = 0, nat = 16, ntyp = 3
/
ATOMIC_SPECIES
Cd 112.41 Cd.upf
Hg 200.59 Hg.upf
Sb 121.76 Sb.upf
CELL_PARAMETERS angstrom
7.464 0.000 0.000
0.000 7.464 0.000
0.000 0.000 7.464
ATOMIC_POSITIONS angstrom
Cd 0.000 0.000 0.000
Cd 0.000 3.732 3.732
Cd 3.732 0.000 3.732
Cd 3.732 3.732 0.000
Hg 0.000 0.000 3.732
Hg 0.000 3.732 0.000
Hg 1.866 1.866 5.598
Hg 1.866 5.598 1.866
Hg 3.732 0.000 0.000
Hg 3.732 3.732 3.732
Hg 5.598 1.866 1.866
Hg 5.598 5.598 5.598
Sb 1.866 1.866 1.866
Sb 1.866 5.598 5.598
Sb 5.598 1.866 5.598
Sb 5.598 5.598 1.866

---

! Tm5Cd4Pt (PBE, relaxed); values from VASP
! Formation energy from the elements, eV/atom: -0.51
! DOS at the Fermi energy, states/eV/f.u.: 6.64
&SYSTEM
  ibrav = 0, nat = 10, ntyp = 3
/
ATOMIC_SPECIES
Tm 168.93 Tm.upf
Cd 112.41 Cd.upf
Pt 195.08 Pt.upf
CELL_PARAMETERS angstrom
3.618 0.000 0.000
0.000 3.618 0.000
0.000 0.000 18.453
ATOMIC_POSITIONS angstrom
Tm 0.000 0.000 0.000
Tm 0.000 0.000 3.807
Tm 0.000 0.000 7.635
Tm 0.000 0.000 10.818
Tm 0.000 0.000 14.646
Cd 1.809 1.809 1.891
Cd 1.809 1.809 5.657
Cd 1.809 1.809 12.796
Cd 1.809 1.809 16.562
Pt 1.809 1.809 9.226

---

! V2SbTe (PBE, relaxed); values from VASP
! DOS at the Fermi energy, states/eV/f.u.: 4.45
! E_form (uncorrected), meV per atom: 166.9
! Offset from the most stable computed form, meV/atom: 156.9
&SYSTEM
  ibrav = 0, nat = 16, ntyp = 3
/
ATOMIC_SPECIES
V 50.94 V.upf
Sb 121.76 Sb.upf
Te 127.60 Te.upf
CELL_PARAMETERS angstrom
6.619 0.000 0.000
0.000 6.619 0.000
0.000 0.000 6.619
ATOMIC_POSITIONS angstrom
V 1.655 1.655 1.655
V 1.655 1.655 4.964
V 1.655 4.964 1.655
V 1.655 4.964 4.964
V 4.964 1.655 1.655
V 4.964 1.655 4.964
V 4.964 4.964 1.655
V 4.964 4.964 4.964
Sb 0.000 0.000 0.000
Sb 0.000 3.310 3.310
Sb 3.310 0.000 3.310
Sb 3.310 3.310 0.000
Te 0.000 0.000 3.310
Te 0.000 3.310 0.000
Te 3.310 0.000 0.000
Te 3.310 3.310 3.310

---

! Sn3IrRu (PBE, relaxed); values from VASP
! Formation energy from the elements, eV/atom: 0.85
! DOS at the Fermi energy, states/eV/f.u.: 8.56
! Offset from the most stable computed form, meV/atom: 124.7
&SYSTEM
  ibrav = 0, nat = 5, ntyp = 3
/
ATOMIC_SPECIES
Sn 118.71 Sn.upf
Ir 192.22 Ir.upf
Ru 101.07 Ru.upf
CELL_PARAMETERS angstrom
5.075 0.000 0.000
0.000 5.075 0.000
0.000 0.000 5.075
ATOMIC_POSITIONS angstrom
Sn 0.000 0.000 2.537
Sn 0.000 2.537 0.000
Sn 2.537 0.000 0.000
Ir 0.000 0.000 0.000
Ru 2.537 2.537 2.537

---

! CaTbTlGe (PBE, relaxed); values from VASP
! Formation energy from the elements, eV/atom: -0.42
! DOS at the Fermi energy, states/eV/f.u.: 1.71
&SYSTEM
  ibrav = 0, nat = 16, ntyp = 4
/
ATOMIC_SPECIES
Ca 40.08 Ca.upf
Tb 158.93 Tb.upf
Tl 204.38 Tl.upf
Ge 72.64 Ge.upf
CELL_PARAMETERS angstrom
7.466 0.000 0.000
0.000 7.466 0.000
0.000 0.000 7.466
ATOMIC_POSITIONS angstrom
Ca 0.000 0.000 0.000
Ca 0.000 3.733 3.733
Ca 3.733 0.000 3.733
Ca 3.733 3.733 0.000
Tb 0.000 0.000 3.733
Tb 0.000 3.733 0.000
Tb 3.733 0.000 0.000
Tb 3.733 3.733 3.733
Tl 1.866 1.866 5.599
Tl 1.866 5.599 1.866
Tl 5.599 1.866 1.866
Tl 5.599 5.599 5.599
Ge 1.866 1.866 1.866
Ge 1.866 5.599 5.599
Ge 5.599 1.866 5.599
Ge 5.599 5.599 1.866

---

! ZrTiVTc (PBE, relaxed); values from VASP
! Formation energy from the elements, eV/atom: -0.13
! DOS at the Fermi energy, states/eV/f.u.: 4.70
&SYSTEM
  ibrav = 0, nat = 16, ntyp = 4
/
ATOMIC_SPECIES
Zr 91.22 Zr.upf
Ti 47.87 Ti.upf
V 50.94 V.upf
Tc 98.00 Tc.upf
CELL_PARAMETERS angstrom
6.466 0.000 0.000
0.000 6.466 0.000
0.000 0.000 6.466
ATOMIC_POSITIONS angstrom
Zr 0.000 0.000 0.000
Zr 0.000 3.233 3.233
Zr 3.233 0.000 3.233
Zr 3.233 3.233 0.000
Ti 0.000 0.000 3.233
Ti 0.000 3.233 0.000
Ti 3.233 0.000 0.000
Ti 3.233 3.233 3.233
V 1.617 1.617 4.850
V 1.617 4.850 1.617
V 4.850 1.617 1.617
V 4.850 4.850 4.850
Tc 1.617 1.617 1.617
Tc 1.617 4.850 4.850
Tc 4.850 1.617 4.850
Tc 4.850 4.850 1.617

---

! LiCaTm2Tl4 (PBE, relaxed); values from VASP
! Formation energy from the elements, eV/atom: -0.31
! DOS at the Fermi energy, states/eV/f.u.: 3.69
&SYSTEM
  ibrav = 0, nat = 8, ntyp = 4
/
ATOMIC_SPECIES
Li 6.94 Li.upf
Ca 40.08 Ca.upf
Tm 168.93 Tm.upf
Tl 204.38 Tl.upf
CELL_PARAMETERS angstrom
2.633 1.520 8.726
-2.633 1.520 8.726
0.000 -3.040 8.726
ATOMIC_POSITIONS angstrom
Li 0.000 0.000 0.000
Ca 0.000 0.000 13.090
Tm 0.000 0.000 6.614
Tm 0.000 0.000 19.566
Tl 0.000 0.000 3.163
Tl 0.000 0.000 9.749
Tl 0.000 0.000 16.430
Tl 0.000 0.000 23.016

---

! SmCd4Hg2 (PBE, relaxed); values from VASP
! Formation energy from the elements, eV/atom: -0.10
! DOS at the Fermi energy, states/eV/f.u.: 3.09
! Offset from the most stable computed form, meV/atom: 56.7
&SYSTEM
  ibrav = 0, nat = 7, ntyp = 3
/
ATOMIC_SPECIES
Sm 150.36 Sm.upf
Cd 112.41 Cd.upf
Hg 200.59 Hg.upf
CELL_PARAMETERS angstrom
5.406 0.000 0.000
-1.924 5.713 0.000
-1.023 -2.123 5.816
ATOMIC_POSITIONS angstrom
Sm 0.000 0.000 0.000
Cd -1.300 2.798 1.664
Cd 1.741 2.857 0.000
Cd 1.229 1.795 2.908
Cd 3.759 0.792 4.152
Hg -0.299 4.094 4.214
Hg 2.757 -0.504 1.602

---

! Ca2Si2Tc (PBE, relaxed); values from VASP
! DOS at the Fermi energy, states/eV/f.u.: 4.25
! E_form (uncorrected), meV per atom: -231.0
&SYSTEM
  ibrav = 0, nat = 10, ntyp = 3
/
ATOMIC_SPECIES
Ca 40.08 Ca.upf
Si 28.09 Si.upf
Tc 98.00 Tc.upf
CELL_PARAMETERS angstrom
6.653 0.000 0.000
0.000 6.653 0.000
0.000 0.000 4.597
ATOMIC_POSITIONS angstrom
Ca 1.179 2.148 0.000
Ca 2.148 5.475 0.000
Ca 4.505 1.179 0.000
Ca 5.475 4.505 0.000
Si 0.896 4.223 2.298
Si 2.431 0.896 2.298
Si 4.223 5.757 2.298
Si 5.757 2.431 2.298
Tc 0.000 0.000 2.298
Tc 3.327 3.327 2.298

---

! Ta2CoTe (PBE, relaxed); values from VASP
! DOS at the Fermi energy, states/eV/f.u.: 3.60
! E_form (uncorrected), meV per atom: 229.4
&SYSTEM
  ibrav = 0, nat = 4, ntyp = 3
/
ATOMIC_SPECIES
Ta 180.95 Ta.upf
Co 58.93 Co.upf
Te 127.60 Te.upf
CELL_PARAMETERS angstrom
3.266 0.000 0.000
0.000 3.733 0.000
-1.133 0.000 5.758
ATOMIC_POSITIONS angstrom
Ta -0.142 0.000 1.630
Ta 2.276 0.000 4.128
Co 1.067 1.866 2.879
Te 1.633 1.866 0.000

---

Number 1: total moment 0.0 μB per formula unit, raw total energy -3.582 eV/atom. Number 2: total moment 0.0 μB per formula unit, raw total energy -3.632 eV/atom. Number 3: total moment 0.0 μB per formula unit, raw total energy -1.270 eV/atom. Number 4: total moment 0.0 μB per formula unit, raw total energy -3.719 eV/atom. Number 5: total moment 1.6 μB per formula unit, raw total energy -6.208 eV/atom. Number 6: total moment 1.3 μB per formula unit, raw total energy -5.181 eV/atom. Number 7: total moment 0.0 μB per formula unit, raw total energy -3.828 eV/atom. Number 8: total moment 2.6 μB per formula unit, raw total energy -9.110 eV/atom. Number 9: total moment 0.0 μB per formula unit, raw total energy -3.100 eV/atom. Number 10: total moment 0.0 μB per formula unit, raw total energy -1.383 eV/atom. Number 11: total moment 1.0 μB per formula unit, raw total energy -5.274 eV/atom. Number 12: total moment 0.0 μB per formula unit, raw total energy -8.259 eV/atom.